(one)
Crystalline Ce3BiH3 at its relaxed geometry. Source: Alexandria via LeMat-Bulk, functional PBE.

Results
Symmetry   R-3 (148)
D(E_F)   2.9704 states/eV per atom
Crystal system   trigonal
V   152.7 Å³/f.u.
Total magnetic moment   3.3 μB per formula unit

abc: 6.938 6.938 8.352
angles: 65.46 65.46 60.00
Last column: magnetic moment on the atom in μB.
Sites, in units of the cell vectors:
1 H 0.531 0.217 0.380  -0.01
2 Ce 0.900 0.224 0.301  0.88
3 H 0.217 0.872 0.380  -0.01
4 H 0.872 0.531 0.380  -0.01
5 H 0.128 0.469 0.620  -0.01
6 H 0.783 0.128 0.620  -0.01
7 Ce 0.224 0.575 0.301  0.88
8 Ce 0.100 0.776 0.699  0.88
9 Bi 0.666 0.666 0.001  -0.04
10 Ce 0.575 0.900 0.301  0.88
11 Ce 0.425 0.100 0.699  0.88
12 H 0.469 0.783 0.620  -0.01
13 Bi 0.334 0.334 0.999  -0.04
14 Ce 0.776 0.425 0.699  0.88

***

(two)
Crystalline Ce3BiH3 at its relaxed geometry. Source: Alexandria via LeMat-Bulk, functional PBE.

Results
Symmetry   Pm-3n (223)
D(E_F)   1.9009 states/eV per atom
Crystal system   cubic
V   134.9 Å³/f.u.
Total magnetic moment   5.7 μB per formula unit

abc: 6.461 6.461 6.461
angles: 90.00 90.00 90.00
Last column: magnetic moment on the atom in μB.
Sites, in units of the cell vectors:
1 H 0.250 0.000 0.500  -0.01
2 Ce 0.500 0.000 0.750  1.32
3 Ce 0.000 0.250 0.500  1.32
4 H 0.500 0.250 0.000  -0.01
5 Bi 0.500 0.500 0.500  -0.09
6 H 0.000 0.500 0.250  -0.01
7 Ce 0.250 0.500 0.000  1.32
8 H 0.750 0.000 0.500  -0.01
9 H 0.500 0.750 0.000  -0.01
10 Bi 0.000 0.000 0.000  -0.09
11 Ce 0.000 0.750 0.500  1.32
12 Ce 0.500 0.000 0.250  1.32
13 H 0.000 0.500 0.750  -0.01
14 Ce 0.750 0.500 0.000  1.32

***

Which one sits at the bottom of the stability order? (one) does.